(1)
{
  "formula": "Pr4DyHo3",
  "functional": "PBE",
  "state": "relaxed",
  "cell": [[-4.483, 2.187, 1.188], [2.300, -0.687, 9.942], [4.412, 9.250, -0.381]],
  "species": ["Pr", "Pr", "Pr", "Pr", "Pr", "Pr", "Pr", "Pr", "Ho", "Ho", "Ho", "Ho", "Ho", "Ho", "Dy", "Dy"],
  "frac_coords": [[0.064, 0.870, 0.000], [0.564, 0.130, 0.000], [0.064, 0.130, 0.250], [0.564, 0.870, 0.250], [0.064, 0.870, 0.500], [0.564, 0.130, 0.500], [0.564, 0.870, 0.750], [0.064, 0.130, 0.750], [0.564, 0.619, 0.000], [0.064, 0.619, 0.250], [0.564, 0.381, 0.250], [0.064, 0.381, 0.500], [0.564, 0.381, 0.750], [0.064, 0.619, 0.750], [0.064, 0.381, 0.000], [0.564, 0.619, 0.500]],
  "density_g_cm3": 7.5,
  "ef_kcal_per_mol_atoms": 0.64,
  "dft_energy_ev_per_atom": -4.654,
  "e_above_lowest_polymorph_mev_per_atom": 0
}

***

(2)
{
  "formula": "Pr7DyHo12",
  "functional": "PBE",
  "state": "relaxed",
  "cell": [[-8.283, 3.720, 3.709], [-2.086, -5.313, -7.976], [4.305, -5.719, 6.704]],
  "species": ["Pr", "Pr", "Pr", "Pr", "Pr", "Pr", "Pr", "Dy", "Ho", "Ho", "Ho", "Ho", "Ho", "Ho", "Ho", "Ho", "Ho", "Ho", "Ho", "Ho"],
  "frac_coords": [[0.500, 0.500, 0.000], [0.000, 0.500, 0.500], [0.500, 0.000, 0.500], [0.500, 0.500, 0.500], [0.000, 0.000, 0.500], [0.500, 0.000, 0.000], [0.000, 0.500, 0.000], [0.000, 0.000, 0.000], [0.508, 0.754, 0.754], [0.000, 0.754, 0.246], [0.492, 0.246, 0.246], [0.000, 0.246, 0.754], [0.754, 0.000, 0.246], [0.754, 0.508, 0.754], [0.246, 0.000, 0.754], [0.246, 0.492, 0.246], [0.754, 0.754, 0.508], [0.246, 0.246, 0.492], [0.754, 0.246, 0.000], [0.246, 0.754, 0.000]],
  "density_g_cm3": 7.2,
  "ef_kcal_per_mol_atoms": 14.72,
  "dft_energy_ev_per_atom": -4.011,
  "e_above_lowest_polymorph_mev_per_atom": 410
}

***

(3)
{
  "formula": "Pr3DyHo3",
  "functional": "PBE",
  "state": "relaxed",
  "cell": [[-4.429, 3.463, -1.406], [-2.404, 0.722, 9.347], [6.189, 6.330, -3.906]],
  "species": ["Pr", "Pr", "Pr", "Pr", "Pr", "Pr", "Dy", "Dy", "Ho", "Ho", "Ho", "Ho", "Ho", "Ho"],
  "frac_coords": [[0.750, 0.756, 0.806], [0.750, 0.051, 0.245], [0.750, 0.194, 0.949], [0.250, 0.244, 0.194], [0.250, 0.949, 0.755], [0.250, 0.806, 0.051], [0.750, 0.333, 0.667], [0.250, 0.667, 0.333], [0.250, 0.520, 0.615], [0.250, 0.096, 0.481], [0.250, 0.385, 0.905], [0.750, 0.480, 0.385], [0.750, 0.904, 0.519], [0.750, 0.615, 0.095]],
  "density_g_cm3": 7.6,
  "ef_kcal_per_mol_atoms": 0.58,
  "dft_energy_ev_per_atom": -4.642,
  "e_above_lowest_polymorph_mev_per_atom": 0
}

***

(4)
{
  "formula": "Pr3DyHo4",
  "functional": "PBE",
  "state": "relaxed",
  "cell": [[-0.613, 4.720, -4.141], [0.764, -4.755, -5.532], [-11.406, -1.632, -0.172]],
  "species": ["Pr", "Pr", "Pr", "Pr", "Pr", "Pr", "Dy", "Dy", "Ho", "Ho", "Ho", "Ho", "Ho", "Ho", "Ho", "Ho"],
  "frac_coords": [[0.483, 0.628, 0.000], [0.146, 0.627, 0.249], [0.646, 0.373, 0.251], [0.983, 0.372, 0.500], [0.646, 0.373, 0.749], [0.146, 0.627, 0.751], [0.983, 0.369, 0.000], [0.483, 0.631, 0.500], [0.982, 0.879, 0.000], [0.480, 0.121, 0.000], [0.148, 0.121, 0.248], [0.648, 0.879, 0.252], [0.980, 0.879, 0.500], [0.482, 0.121, 0.500], [0.648, 0.879, 0.748], [0.148, 0.121, 0.752]],
  "density_g_cm3": 7.8,
  "ef_kcal_per_mol_atoms": 0.61,
  "dft_energy_ev_per_atom": -4.630,
  "e_above_lowest_polymorph_mev_per_atom": 0
}